[1]
ScFe2Mo | GGA-PBE | optimized geometry

Unit cell a=3.2503 b=4.3634 c=4.0859 alpha=90.00 beta=90.00 gamma=90.00
Last column: nearest neighbours and their distance in Å.
Element x y z (fractional)
Fe 0.5000 0.5000 0.0000  4 Sc 2.61, 4 Fe 2.72
Fe 0.0000 0.0000 0.0000  4 Mo 2.61, 4 Fe 2.72
Mo 0.5000 0.0000 0.5000  4 Fe 2.61, 4 Sc 2.72
Sc 0.0000 0.5000 0.5000  4 Fe 2.61, 4 Mo 2.72

Calculated values
The energy of formation comes out at 5.716 kcal/mol of atoms.

[2]
La2TiSe | GGA-PBE | optimized geometry

Unit cell a=8.3148 b=8.3148 c=6.6755 alpha=51.48 beta=51.48 gamma=90.00
Last column: nearest neighbours and their distance in Å.
Element x y z (fractional)
La 0.6376 0.1250 0.2500  2 Se 2.97, 2 Ti 3.12, 2 La 3.17
La 0.3750 0.3624 0.7500  2 Se 2.97, 2 Ti 3.12, 2 La 3.17
La 0.1124 0.6250 0.2500  2 Se 2.97, 2 Ti 3.12, 2 La 3.17
La 0.8750 0.8876 0.7500  2 Se 2.97, 2 Ti 3.12, 2 La 3.17
Ti 0.5000 0.5000 0.0000  4 La 3.12, 2 Se 3.16
Ti 0.2500 0.7500 0.5000  4 La 3.12, 2 Se 3.16
Se 0.7500 0.2500 0.5000  4 La 2.97, 2 Ti 3.16
Se 0.0000 0.0000 0.0000  4 La 2.97, 2 Ti 3.16

Calculated values
For the formation energy (no corrections), the calculation gives -0.185 eV/atom.

[3]
UIn3I7 | GGA-PBE | optimized geometry

Unit cell a=8.0414 b=8.0414 c=9.6541 alpha=63.48 beta=63.48 gamma=79.31
Last column: nearest neighbours and their distance in Å.
Element x y z (fractional)
I 0.7985 0.7985 0.8724  1 U 3.05, 1 In 3.35
I 0.6270 0.6270 0.3714  2 In 3.25, 1 U 3.27
I 0.1496 0.6141 0.2394  1 U 3.16, 2 In 3.39-3.42
I 0.1601 0.1601 0.1009  1 U 3.07
I 0.3141 0.9285 0.7542  1 U 3.10, 1 In 3.38
I 0.6141 0.1496 0.2394  1 U 3.16, 2 In 3.39-3.42
I 0.9285 0.3141 0.7542  1 U 3.10, 1 In 3.38
In 0.5028 0.5028 0.9335  6 I 3.35-3.56
In 0.8499 0.2411 0.4690  4 I 3.25-3.58
In 0.2411 0.8499 0.4690  4 I 3.25-3.58
U 0.9394 0.9394 0.0466  7 I 3.05-3.27

Calculated values
For the formation energy (no corrections), the calculation gives -0.585 eV/atom.

[4]
LaBiP2S8 | GGA-PBE | optimized geometry

Unit cell a=6.6116 b=6.6116 c=9.0332 alpha=90.00 beta=90.00 gamma=120.00
Last column: nearest neighbours and their distance in Å.
Element x y z (fractional)
S 0.1616 0.8384 0.7633  1 P 2.07
S 0.6667 0.3333 0.5274  1 P 1.99
S 0.8384 0.6768 0.2367  1 P 2.07
S 0.1616 0.3232 0.7633  1 P 2.07
S 0.8384 0.1616 0.2367  1 P 2.07
S 0.3333 0.6667 0.4726  1 P 1.99
S 0.3232 0.1616 0.2367  1 P 2.07
S 0.6768 0.8384 0.7633  1 P 2.07
La 0.0000 0.0000 0.5000  6 S 3.01
P 0.6667 0.3333 0.3072  4 S 1.99-2.07
P 0.3333 0.6667 0.6928  4 S 1.99-2.07
Bi 0.0000 0.0000 0.0000  6 S 2.83

Calculated values
For the formation energy (no corrections), the calculation gives -0.488 eV/atom.

[5]
Ac4Pa | GGA-PBE | optimized geometry

Unit cell a=6.2110 b=6.2110 c=6.2110 alpha=90.00 beta=90.00 gamma=90.00
Last column: nearest neighbours and their distance in Å.
Element x y z (fractional)
Ac 0.5000 0.5000 0.0000  2 Pa 3.11
Ac 0.0000 0.0000 0.0000  12 Ac 4.39
Ac 0.0000 0.5000 0.5000  2 Pa 3.11
Ac 0.5000 0.0000 0.5000  2 Pa 3.11
Pa 0.5000 0.5000 0.5000  6 Ac 3.11

Calculated values
The energy of formation comes out at 17.058 kcal/mol of atoms.

[6]
TiCrAg2Te | GGA-PBE | optimized geometry

Unit cell a=5.0978 b=5.1260 c=5.0978 alpha=90.00 beta=90.00 gamma=90.00
Last column: nearest neighbours and their distance in Å.
Element x y z (fractional)
Ti 0.0000 0.0000 0.0000  4 Ag 2.55, 2 Te 2.56
Ag 0.0000 0.0000 0.5000  2 Ti 2.55
Ag 0.5000 0.0000 0.0000  2 Ti 2.55
Cr 0.5000 0.5000 0.5000  4 Te 3.60, 8 Ag 3.61
Te 0.0000 0.5000 0.0000  2 Ti 2.56

Calculated values
For the formation energy (no corrections), the calculation gives 0.842 eV/atom.

Copy entry 1 word for word.
ScFe2Mo | GGA-PBE | optimized geometry

Unit cell a=3.2503 b=4.3634 c=4.0859 alpha=90.00 beta=90.00 gamma=90.00
Last column: nearest neighbours and their distance in Å.
Element x y z (fractional)
Fe 0.5000 0.5000 0.0000  4 Sc 2.61, 4 Fe 2.72
Fe 0.0000 0.0000 0.0000  4 Mo 2.61, 4 Fe 2.72
Mo 0.5000 0.0000 0.5000  4 Fe 2.61, 4 Sc 2.72
Sc 0.0000 0.5000 0.5000  4 Fe 2.61, 4 Mo 2.72

Calculated values
The energy of formation comes out at 5.716 kcal/mol of atoms.